1.
# MgCuSe2, optimized geometry, DFT PBE-GGA
# Crystal system: tetragonal
# Total magnetic moment: 0.0 μB per formula unit
# ρ: 5.55 Mg/m³
# N(E_F): 1.85 states/eV/cell
# Energy relative to the elements, uncorrected: -0.18 eV per atom
data_MgCuSe2
_cell_length_a 4.659
_cell_length_b 4.659
_cell_length_c 3.388
_cell_angle_alpha 90.00
_cell_angle_beta 90.00
_cell_angle_gamma 90.00
_symmetry_space_group_name_H-M 'P 4/m m m'
_symmetry_Int_Tables_number 123
_symmetry_space_group_name_Hall '-P 4 2'
loop_
_atom_site_label
_atom_site_fract_x
_atom_site_fract_y
_atom_site_fract_z
Mg1 0.000 0.000 0.000
Cu1 0.500 0.500 0.000
Se1 0.000 0.500 0.500

=====

2.
# MgCuSe2, optimized geometry, DFT PBE-GGA
# Crystal system: orthorhombic
# Total magnetic moment: 0.0 μB per formula unit
# ρ: 4.00 Mg/m³
# N(E_F): 4.30 states/eV/cell
# Energy relative to the elements, uncorrected: -0.32 eV per atom
data_MgCuSe2
_cell_length_a 3.643
_cell_length_b 8.046
_cell_length_c 6.962
_cell_angle_alpha 90.00
_cell_angle_beta 90.00
_cell_angle_gamma 90.00
_symmetry_space_group_name_H-M 'C m m m'
_symmetry_Int_Tables_number 65
_symmetry_space_group_name_Hall '-C 2 2'
loop_
_atom_site_label
_atom_site_fract_x
_atom_site_fract_y
_atom_site_fract_z
Mg1 0.000 0.000 0.000
Cu1 0.000 0.000 0.500
Se1 0.000 0.500 0.267

=====

3.
# MgCuSe, optimized geometry, DFT PBE-GGA
# Crystal system: orthorhombic
# Total magnetic moment: 0.0 μB per formula unit
# ρ: 3.43 Mg/m³
# N(E_F): 5.05 states/eV/cell
# Energy relative to the elements, uncorrected: -0.23 eV per atom
data_MgCuSe
_cell_length_a 3.970
_cell_length_b 15.844
_cell_length_c 5.137
_cell_angle_alpha 90.00
_cell_angle_beta 90.00
_cell_angle_gamma 90.00
_symmetry_space_group_name_H-M 'P m m n'
_symmetry_Int_Tables_number 59
loop_
_symmetry_equiv_pos_as_xyz
'x,y,z'
'-x,-y,-z'
'-x+1/2,-y+1/2,z'
'x+1/2,y+1/2,-z'
'x+1/2,-y,-z'
'-x+1/2,y,z'
'-x,y+1/2,-z'
'x,-y+1/2,z'
loop_
_atom_site_label
_atom_site_fract_x
_atom_site_fract_y
_atom_site_fract_z
Mg1 0.250 0.031 0.237
Cu1 0.250 0.093 0.749
Se1 0.250 0.621 0.486

=====

4.
# Mg3CuSe2, optimized geometry, DFT PBE-GGA
# Crystal system: hexagonal
# Total magnetic moment: 0.0 μB per formula unit
# ρ: 3.59 Mg/m³
# N(E_F): 1.61 states/eV/cell
# Energy relative to the elements, uncorrected: -0.37 eV per atom
data_Mg3CuSe2
_cell_length_a 6.5365
_cell_length_b 6.5365
_cell_length_c 7.3503
_cell_angle_alpha 90.00
_cell_angle_beta 90.00
_cell_angle_gamma 120.00
_symmetry_space_group_name_H-M 'P 63/m m c'
_symmetry_Int_Tables_number 194
_symmetry_space_group_name_Hall '-P 6c 2c'
loop_
_atom_site_label
_atom_site_fract_x
_atom_site_fract_y
_atom_site_fract_z
Mg1 0.1703 0.3405 0.2500
Cu1 0.0000 0.0000 0.0000
Se1 0.3333 0.6667 0.5066

=====

5.
# Mg2Cu4Se, optimized geometry, DFT PBE-GGA
# Crystal system: tetragonal
# Total magnetic moment: 0.0 μB per formula unit
# ρ: 5.48 Mg/m³
# N(E_F): 11.01 states/eV/cell
# Energy relative to the elements, uncorrected: 0.03 eV per atom
data_Mg2Cu4Se
_cell_length_a 7.211
_cell_length_b 7.211
_cell_length_c 8.900
_cell_angle_alpha 90.00
_cell_angle_beta 90.00
_cell_angle_gamma 90.00
_symmetry_space_group_name_H-M 'I 4/m c m'
_symmetry_Int_Tables_number 140
_symmetry_space_group_name_Hall '-I 4 2c'
loop_
_atom_site_label
_atom_site_fract_x
_atom_site_fract_y
_atom_site_fract_z
Mg1 0.156 0.344 0.000
Cu1 0.143 0.357 0.324
Se1 0.000 0.000 0.250

=====

6.
# MgCuSe, optimized geometry, DFT PBE-GGA
# Crystal system: orthorhombic
# Total magnetic moment: 0.0 μB per formula unit
# ρ: 4.84 Mg/m³
# N(E_F): 0.80 states/eV/cell
# Energy relative to the elements, uncorrected: -0.26 eV per atom
data_MgCuSe
_cell_length_a 3.740
_cell_length_b 3.810
_cell_length_c 4.015
_cell_angle_alpha 90.00
_cell_angle_beta 90.00
_cell_angle_gamma 90.00
_symmetry_space_group_name_H-M 'P m m m'
_symmetry_Int_Tables_number 47
_symmetry_space_group_name_Hall '-P 2 2'
loop_
_atom_site_label
_atom_site_fract_x
_atom_site_fract_y
_atom_site_fract_z
Mg1 0.000 0.000 0.000
Cu1 0.000 0.500 0.500
Se1 0.500 0.000 0.500

=====

7.
# MgCu2Se, optimized geometry, DFT PBE-GGA
# Crystal system: tetragonal
# Total magnetic moment: 0.0 μB per formula unit
# ρ: 5.67 Mg/m³
# N(E_F): 4.91 states/eV/cell
# Energy relative to the elements, uncorrected: -0.09 eV per atom
data_MgCu2Se
_cell_length_a 3.718
_cell_length_b 3.718
_cell_length_c 19.513
_cell_angle_alpha 90.00
_cell_angle_beta 90.00
_cell_angle_gamma 90.00
_symmetry_space_group_name_H-M 'I -4 2 d'
_symmetry_Int_Tables_number 122
_symmetry_space_group_name_Hall 'I -4 2bw'
loop_
_atom_site_label
_atom_site_fract_x
_atom_site_fract_y
_atom_site_fract_z
Mg1 0.000 0.000 0.000
Cu1 0.248 0.250 0.125
Se1 0.000 0.000 0.500

=====

8.
# MgCuSe2, optimized geometry, DFT PBE-GGA
# Crystal system: tetragonal
# Total magnetic moment: 0.0 μB per formula unit
# ρ: 5.39 Mg/m³
# N(E_F): 3.05 states/eV/cell
# Energy relative to the elements, uncorrected: -0.39 eV per atom
data_MgCuSe2
_cell_length_a 3.982
_cell_length_b 3.982
_cell_length_c 19.094
_cell_angle_alpha 90.00
_cell_angle_beta 90.00
_cell_angle_gamma 90.00
_symmetry_space_group_name_H-M 'I 4/m m m'
_symmetry_Int_Tables_number 139
_symmetry_space_group_name_Hall '-I 4 2'
loop_
_atom_site_label
_atom_site_fract_x
_atom_site_fract_y
_atom_site_fract_z
Mg1 0.000 0.000 0.110
Cu1 0.000 0.500 0.250
Se1 0.000 0.000 0.334
Se2 0.000 0.500 0.000

=====

9.
# MgCuSe2, optimized geometry, DFT PBE-GGA
# Crystal system: monoclinic
# Total magnetic moment: 0.0 μB per formula unit
# ρ: 4.58 Mg/m³
# N(E_F): 0.89 states/eV/cell
# Energy relative to the elements, uncorrected: -0.45 eV per atom
data_MgCuSe2
_cell_length_a 4.136
_cell_length_b 3.485
_cell_length_c 6.288
_cell_angle_alpha 90.00
_cell_angle_beta 100.79
_cell_angle_gamma 90.00
_symmetry_space_group_name_H-M 'P 1 2/m 1'
_symmetry_Int_Tables_number 10
_symmetry_space_group_name_Hall '-P 2y'
loop_
_atom_site_label
_atom_site_fract_x
_atom_site_fract_y
_atom_site_fract_z
Mg1 0.000 0.000 0.000
Cu1 0.000 0.000 0.500
Se1 0.256 0.500 0.750

=====

10.
# Mg2Cu4Se, optimized geometry, DFT PBE-GGA
# Crystal system: tetragonal
# Total magnetic moment: 0.0 μB per formula unit
# ρ: 5.32 Mg/m³
# N(E_F): 4.27 states/eV/cell
# Energy relative to the elements, uncorrected: 0.14 eV per atom
data_Mg2Cu4Se
_cell_length_a 6.051
_cell_length_b 6.051
_cell_length_c 6.507
_cell_angle_alpha 90.00
_cell_angle_beta 90.00
_cell_angle_gamma 90.00
_symmetry_space_group_name_H-M 'I 4/m m m'
_symmetry_Int_Tables_number 139
_symmetry_space_group_name_Hall '-I 4 2'
loop_
_atom_site_label
_atom_site_fract_x
_atom_site_fract_y
_atom_site_fract_z
Mg1 0.000 0.500 0.250
Cu1 0.202 0.202 0.000
Se1 0.000 0.000 0.500

=====

11.
# MgCuSe2, optimized geometry, DFT PBE-GGA
# Crystal system: trigonal
# Total magnetic moment: 0.0 μB per formula unit
# ρ: 5.26 Mg/m³
# N(E_F): 9.57 states/eV/cell
# Energy relative to the elements, uncorrected: -0.47 eV per atom
data_MgCuSe2
_cell_length_a 3.7319
_cell_length_b 3.7319
_cell_length_c 19.3159
_cell_angle_alpha 90.00
_cell_angle_beta 90.00
_cell_angle_gamma 120.00
_symmetry_space_group_name_H-M 'R 3 m'
_symmetry_Int_Tables_number 160
_symmetry_space_group_name_Hall 'R 3 -2"'
loop_
_atom_site_label
_atom_site_fract_x
_atom_site_fract_y
_atom_site_fract_z
Mg1 0.0000 0.0000 0.0000
Cu1 0.0000 0.0000 0.1655
Se1 0.0000 0.0000 0.5741
Se2 0.0000 0.0000 0.7572

=====

12.
# Mg2CuSe4, optimized geometry, DFT PBE-GGA
# Crystal system: tetragonal
# Total magnetic moment: 0.0 μB per formula unit
# ρ: 3.49 Mg/m³
# N(E_F): 10.70 states/eV/cell
# Energy relative to the elements, uncorrected: 0.03 eV per atom
data_Mg2CuSe4
_cell_length_a 7.128
_cell_length_b 7.128
_cell_length_c 8.022
_cell_angle_alpha 90.00
_cell_angle_beta 90.00
_cell_angle_gamma 90.00
_symmetry_space_group_name_H-M 'I 4/m m m'
_symmetry_Int_Tables_number 139
_symmetry_space_group_name_Hall '-I 4 2'
loop_
_atom_site_label
_atom_site_fract_x
_atom_site_fract_y
_atom_site_fract_z
Mg1 0.000 0.500 0.250
Cu1 0.000 0.000 0.000
Se1 0.000 0.271 0.500